! HfBP2S PBE optimized geometry; values from VASP
! Formation energy without anion corrections: 289 meV per atom
&SYSTEM
  ibrav = 0, nat = 5, ntyp = 4
/
ATOMIC_SPECIES
P 30.97 P.upf
S 32.06 S.upf
B 10.81 B.upf
Hf 178.49 Hf.upf
CELL_PARAMETERS angstrom
-1.8688 -2.8522 -1.9718
-1.9840 -1.5292 4.0923
-3.0610 2.4092 -0.5838
ATOMIC_POSITIONS angstrom
P -1.5305 1.2046 -0.2919
P -0.9344 -1.4261 -0.9859
S -0.9920 -0.7646 2.0462
B 0.0000 0.0000 0.0000
Hf -3.4569 -0.9861 0.7684